The following is a PBE calculation of a relaxed structure of Ba8MgAg2, from Alexandria via LeMat-Bulk.

It has space group Cm (No. 8), with a = 10.755 Å, b = 15.529 Å, c = 6.696 Å, α = 90.00°, β = 104.35° and γ = 90.00°. The asymmetric unit holds Ba at (0.000, 0.000, 0.000), Ba at (0.068, 0.369, 0.791), Ba at (0.180, 0.131, 0.605), Ba at (0.245, 0.500, 0.394), Ba at (0.374, 0.244, 0.198), Mg at (0.371, 0.000, 0.182) and Ag at (0.374, 0.316, 0.698).

The calculation puts the energy of formation from the pure elements at -48 meV per atom. The total moment is 0.00 μB per atom.